# Hf6VSn2 | the Alexandria database | PBE | optimized geometry
data_Hf6VSn2
_cell_length_a 7.072
_cell_length_b 7.072
_cell_length_c 9.373
_cell_angle_alpha 90.00
_cell_angle_beta 90.00
_cell_angle_gamma 90.00
_symmetry_space_group_name_H-M 'P 42/m n m'
_symmetry_Int_Tables_number 136
_symmetry_space_group_name_Hall '-P 4n 2n'
loop_
_atom_site_label
_atom_site_type_symbol
_atom_site_fract_x
_atom_site_fract_y
_atom_site_fract_z
Hf1 Hf 0.225 0.225 0.158
Hf2 Hf 0.248 0.248 0.500
V1 V 0.000 0.000 0.000
Sn1 Sn 0.000 0.000 0.332
# - VASP energy: -7.82 eV per atom